Entry from Alexandria: a geometry-optimized ReAgIrOs2 structure (GGA-PBE).

Its total magnetic moment is 0.99 μB/f.u. For the energy of formation from the pure elements, the calculation gives 2.027 eV per atom.

The space group is P4/mmm (No. 123) and the conventional cell measures 4.712, 4.712 and 4.759 Å, with angles of 90.00, 90.00 and 90.00 degrees. The asymmetric unit holds Re at (0.000, 0.000, 0.000), Ag at (0.500, 0.500, 0.500), Ir at (0.000, 0.000, 0.500) and Os at (0.000, 0.500, 0.000).

Entry from Alexandria: a geometry-optimized SiAgIr2Os structure (GGA-PBE).

The raw formation energy is 1743 meV/atom. Its total magnetic moment is 0.00 μB/f.u.

The space group is P4/mmm (No. 123) and the conventional cell measures 4.696, 4.696 and 5.063 Å, with angles of 90.00, 90.00 and 90.00 degrees. The asymmetric unit holds Si at (0.000, 0.000, 0.000), Ag at (0.500, 0.500, 0.000), Ir at (0.000, 0.500, 0.500) and Os at (0.500, 0.500, 0.500).

What did the second record say?
Entry from Alexandria: a geometry-optimized SiAgIr2Os structure (GGA-PBE).

The raw formation energy is 1743 meV/atom. Its total magnetic moment is 0.00 μB/f.u.

The space group is P4/mmm (No. 123) and the conventional cell measures 4.696, 4.696 and 5.063 Å, with angles of 90.00, 90.00 and 90.00 degrees. The asymmetric unit holds Si at (0.000, 0.000, 0.000), Ag at (0.500, 0.500, 0.000), Ir at (0.000, 0.500, 0.500) and Os at (0.500, 0.500, 0.500).

Copy entry 1 word for word.
Entry from Alexandria: a geometry-optimized ReAgIrOs2 structure (GGA-PBE).

Its total magnetic moment is 0.99 μB/f.u. For the energy of formation from the pure elements, the calculation gives 2.027 eV per atom.

The space group is P4/mmm (No. 123) and the conventional cell measures 4.712, 4.712 and 4.759 Å, with angles of 90.00, 90.00 and 90.00 degrees. The asymmetric unit holds Re at (0.000, 0.000, 0.000), Ag at (0.500, 0.500, 0.500), Ir at (0.000, 0.000, 0.500) and Os at (0.000, 0.500, 0.000).